Record 1
La2GeIr | PBE-GGA | optimized geometry

Summary:
- Calculated volume: 25.14 Å³/atom
- Spin magnetization: 0.00 Bohr magnetons per cell
- ΔH_f (0 K): -0.629 eV per atom

```
data_La2GeIr
_chemical_formula_sum 'La2 Ge1 Ir1'
_cell_length_a 3.557
_cell_length_b 3.557
_cell_length_c 7.949
_cell_angle_alpha 90.00
_cell_angle_beta 90.00
_cell_angle_gamma 90.00
_space_group_name_H-M_alt 'P 1'
_space_group_IT_number 1
loop_
_space_group_symop_operation_xyz
'x,y,z'
loop_
_atom_site_label
_atom_site_type_symbol
_atom_site_fract_x
_atom_site_fract_y
_atom_site_fract_z
La1 La 0.000 0.000 0.225
La2 La 0.000 0.000 0.775
Ge1 Ge 0.500 0.500 0.500
Ir1 Ir 0.500 0.500 0.000
```

Record 2
La3Ge3Ir2 | PBE-GGA | optimized geometry

Summary:
- Calculated volume: 23.16 Å³/atom
- Spin magnetization: 0.00 Bohr magnetons per cell
- ΔH_f (0 K): -0.841 eV per atom

```
data_La3Ge3Ir2
_chemical_formula_sum 'La6 Ge6 Ir4'
_cell_length_a 6.054
_cell_length_b 6.054
_cell_length_c 15.036
_cell_angle_alpha 90.00
_cell_angle_beta 90.00
_cell_angle_gamma 137.74
_space_group_name_H-M_alt 'P 1'
_space_group_IT_number 1
loop_
_space_group_symop_operation_xyz
'x,y,z'
loop_
_atom_site_label
_atom_site_type_symbol
_atom_site_fract_x
_atom_site_fract_y
_atom_site_fract_z
La1 La 0.076 0.924 0.607
La2 La 0.076 0.924 0.893
La3 La 0.353 0.647 0.750
La4 La 0.647 0.353 0.250
La5 La 0.924 0.076 0.107
La6 La 0.924 0.076 0.393
Ge1 Ge 0.345 0.655 0.250
Ge2 Ge 0.353 0.647 0.536
Ge3 Ge 0.353 0.647 0.964
Ge4 Ge 0.647 0.353 0.036
Ge5 Ge 0.647 0.353 0.464
Ge6 Ge 0.655 0.345 0.750
Ir1 Ir 0.210 0.790 0.106
Ir2 Ir 0.210 0.790 0.394
Ir3 Ir 0.790 0.210 0.606
Ir4 Ir 0.790 0.210 0.894
```

Record 3
LaGeIr3 | PBE-GGA | optimized geometry

Summary:
- Calculated volume: 24.48 Å³/atom
- Energy above the lowest structure with this stoichiometry: 1.855 eV per atom
- Spin magnetization: 0.00 Bohr magnetons per cell
- ΔH_f (0 K): 1.895 eV per atom

```
data_LaGeIr3
_chemical_formula_sum 'La1 Ge1 Ir3'
_cell_length_a 4.965
_cell_length_b 4.965
_cell_length_c 4.965
_cell_angle_alpha 90.00
_cell_angle_beta 90.00
_cell_angle_gamma 90.00
_space_group_name_H-M_alt 'P 1'
_space_group_IT_number 1
loop_
_space_group_symop_operation_xyz
'x,y,z'
loop_
_atom_site_label
_atom_site_type_symbol
_atom_site_fract_x
_atom_site_fract_y
_atom_site_fract_z
La1 La 0.000 0.000 0.000
Ge1 Ge 0.500 0.500 0.500
Ir1 Ir 0.000 0.000 0.500
Ir2 Ir 0.000 0.500 0.000
Ir3 Ir 0.500 0.000 0.000
```

Record 4
LaGe2Ir2 | PBE-GGA | optimized geometry

Summary:
- Calculated volume: 18.10 Å³/atom
- Spin magnetization: 0.00 Bohr magnetons per cell
- ΔH_f (0 K): -0.245 eV per atom

```
data_LaGe2Ir2
_chemical_formula_sum 'La2 Ge4 Ir4'
_cell_length_a 7.833
_cell_length_b 7.833
_cell_length_c 2.950
_cell_angle_alpha 90.00
_cell_angle_beta 90.00
_cell_angle_gamma 90.00
_space_group_name_H-M_alt 'P 1'
_space_group_IT_number 1
loop_
_space_group_symop_operation_xyz
'x,y,z'
loop_
_atom_site_label
_atom_site_type_symbol
_atom_site_fract_x
_atom_site_fract_y
_atom_site_fract_z
La1 La 0.000 0.000 0.000
La2 La 0.500 0.500 0.000
Ge1 Ge 0.141 0.359 0.000
Ge2 Ge 0.359 0.859 0.000
Ge3 Ge 0.641 0.141 0.000
Ge4 Ge 0.859 0.641 0.000
Ir1 Ir 0.140 0.640 0.500
Ir2 Ir 0.360 0.140 0.500
Ir3 Ir 0.640 0.860 0.500
Ir4 Ir 0.860 0.360 0.500
```

Record 5
La2Ge3Ir5 | PBE-GGA | optimized geometry

Summary:
- Calculated volume: 19.11 Å³/atom
- Spin magnetization: 0.00 Bohr magnetons per cell
- ΔH_f (0 K): -0.680 eV per atom

```
data_La2Ge3Ir5
_chemical_formula_sum 'La4 Ge6 Ir10'
_cell_length_a 8.721
_cell_length_b 8.721
_cell_length_c 8.721
_cell_angle_alpha 110.56
_cell_angle_beta 82.90
_cell_angle_gamma 140.57
_space_group_name_H-M_alt 'P 1'
_space_group_IT_number 1
loop_
_space_group_symop_operation_xyz
'x,y,z'
loop_
_atom_site_label
_atom_site_type_symbol
_atom_site_fract_x
_atom_site_fract_y
_atom_site_fract_z
La1 La 0.138 0.233 0.370
La2 La 0.362 0.733 0.095
La3 La 0.638 0.267 0.905
La4 La 0.862 0.767 0.630
Ge1 Ge 0.106 0.645 0.751
Ge2 Ge 0.250 0.250 0.000
Ge3 Ge 0.394 0.145 0.538
Ge4 Ge 0.606 0.855 0.462
Ge5 Ge 0.750 0.750 0.000
Ge6 Ge 0.894 0.355 0.249
Ir1 Ir 0.032 0.750 0.282
Ir2 Ir 0.130 0.890 0.020
Ir3 Ir 0.250 0.750 0.500
Ir4 Ir 0.370 0.390 0.760
Ir5 Ir 0.468 0.750 0.718
Ir6 Ir 0.532 0.250 0.282
Ir7 Ir 0.630 0.610 0.240
Ir8 Ir 0.750 0.250 0.500
Ir9 Ir 0.870 0.110 0.980
Ir10 Ir 0.968 0.250 0.718
```

Record 6
La2Ge4Ir3 | PBE-GGA | optimized geometry

Summary:
- Calculated volume: 18.94 Å³/atom
- Energy above the lowest structure with this stoichiometry: 0.000 eV per atom
- Spin magnetization: 0.00 Bohr magnetons per cell
- ΔH_f (0 K): -0.719 eV per atom

```
data_La2Ge4Ir3
_chemical_formula_sum 'La4 Ge8 Ir6'
_cell_length_a 8.221
_cell_length_b 8.221
_cell_length_c 7.605
_cell_angle_alpha 90.00
_cell_angle_beta 90.00
_cell_angle_gamma 138.46
_space_group_name_H-M_alt 'P 1'
_space_group_IT_number 1
loop_
_space_group_symop_operation_xyz
'x,y,z'
loop_
_atom_site_label
_atom_site_type_symbol
_atom_site_fract_x
_atom_site_fract_y
_atom_site_fract_z
La1 La 0.110 0.890 0.908
La2 La 0.390 0.610 0.408
La3 La 0.610 0.390 0.592
La4 La 0.890 0.110 0.092
Ge1 Ge 0.184 0.816 0.523
Ge2 Ge 0.190 0.310 0.750
Ge3 Ge 0.310 0.190 0.250
Ge4 Ge 0.316 0.684 0.023
Ge5 Ge 0.684 0.316 0.977
Ge6 Ge 0.690 0.810 0.750
Ge7 Ge 0.810 0.690 0.250
Ge8 Ge 0.816 0.184 0.477
Ir1 Ir 0.000 0.000 0.500
Ir2 Ir 0.025 0.475 0.750
Ir3 Ir 0.475 0.025 0.250
Ir4 Ir 0.500 0.500 0.000
Ir5 Ir 0.525 0.975 0.750
Ir6 Ir 0.975 0.525 0.250
```

Record 7
LaGe2Ir2 | PBE-GGA | optimized geometry

Summary:
- Calculated volume: 19.06 Å³/atom
- Spin magnetization: 0.00 Bohr magnetons per cell
- ΔH_f (0 K): -0.806 eV per atom

```
data_LaGe2Ir2
_chemical_formula_sum 'La2 Ge4 Ir4'
_cell_length_a 4.316
_cell_length_b 4.316
_cell_length_c 10.232
_cell_angle_alpha 90.00
_cell_angle_beta 90.00
_cell_angle_gamma 90.00
_space_group_name_H-M_alt 'P 1'
_space_group_IT_number 1
loop_
_space_group_symop_operation_xyz
'x,y,z'
loop_
_atom_site_label
_atom_site_type_symbol
_atom_site_fract_x
_atom_site_fract_y
_atom_site_fract_z
La1 La 0.250 0.250 0.244
La2 La 0.750 0.750 0.756
Ge1 Ge 0.250 0.250 0.630
Ge2 Ge 0.250 0.750 0.000
Ge3 Ge 0.750 0.250 0.000
Ge4 Ge 0.750 0.750 0.370
Ir1 Ir 0.250 0.250 0.873
Ir2 Ir 0.250 0.750 0.500
Ir3 Ir 0.750 0.250 0.500
Ir4 Ir 0.750 0.750 0.127
```

Record 8
La4GeIr | PBE-GGA | optimized geometry

Summary:
- Calculated volume: 30.63 Å³/atom
- Energy above the lowest structure with this stoichiometry: 0.000 eV per atom
- Spin magnetization: 0.00 Bohr magnetons per cell
- ΔH_f (0 K): -0.595 eV per atom

```
data_La4GeIr
_chemical_formula_sum 'La8 Ge2 Ir2'
_cell_length_a 6.476
_cell_length_b 7.006
_cell_length_c 8.104
_cell_angle_alpha 90.00
_cell_angle_beta 91.38
_cell_angle_gamma 90.00
_space_group_name_H-M_alt 'P 1'
_space_group_IT_number 1
loop_
_space_group_symop_operation_xyz
'x,y,z'
loop_
_atom_site_label
_atom_site_type_symbol
_atom_site_fract_x
_atom_site_fract_y
_atom_site_fract_z
La1 La 0.094 0.003 0.228
La2 La 0.094 0.497 0.228
La3 La 0.363 0.250 0.604
La4 La 0.398 0.750 0.902
La5 La 0.602 0.250 0.098
La6 La 0.637 0.750 0.396
La7 La 0.906 0.503 0.772
La8 La 0.906 0.997 0.772
Ge1 Ge 0.192 0.750 0.546
Ge2 Ge 0.808 0.250 0.454
Ir1 Ir 0.205 0.250 0.933
Ir2 Ir 0.795 0.750 0.067
```

> Number 8 is which compound?

La4GeIr

Repeat the second record exactly.
La3Ge3Ir2 | PBE-GGA | optimized geometry

Summary:
- Calculated volume: 23.16 Å³/atom
- Spin magnetization: 0.00 Bohr magnetons per cell
- ΔH_f (0 K): -0.841 eV per atom

```
data_La3Ge3Ir2
_chemical_formula_sum 'La6 Ge6 Ir4'
_cell_length_a 6.054
_cell_length_b 6.054
_cell_length_c 15.036
_cell_angle_alpha 90.00
_cell_angle_beta 90.00
_cell_angle_gamma 137.74
_space_group_name_H-M_alt 'P 1'
_space_group_IT_number 1
loop_
_space_group_symop_operation_xyz
'x,y,z'
loop_
_atom_site_label
_atom_site_type_symbol
_atom_site_fract_x
_atom_site_fract_y
_atom_site_fract_z
La1 La 0.076 0.924 0.607
La2 La 0.076 0.924 0.893
La3 La 0.353 0.647 0.750
La4 La 0.647 0.353 0.250
La5 La 0.924 0.076 0.107
La6 La 0.924 0.076 0.393
Ge1 Ge 0.345 0.655 0.250
Ge2 Ge 0.353 0.647 0.536
Ge3 Ge 0.353 0.647 0.964
Ge4 Ge 0.647 0.353 0.036
Ge5 Ge 0.647 0.353 0.464
Ge6 Ge 0.655 0.345 0.750
Ir1 Ir 0.210 0.790 0.106
Ir2 Ir 0.210 0.790 0.394
Ir3 Ir 0.790 0.210 0.606
Ir4 Ir 0.790 0.210 0.894
```